# MgAg2Mo

Crystalline MgAg2Mo at its relaxed geometry (GGA-PBE, Alexandria).

Cell lengths 10.2706, 10.2706, 10.2706 Å; angles 157.71, 157.71, 31.73 degrees
Fractional coordinates of all 8 atoms:
Mg: 0.0000 0.0000 0.0000
Mg: 0.7500 0.2500 0.5000
Ag: 0.1216 0.6250 0.9966
Ag: 0.3750 0.3716 0.4966
Ag: 0.6284 0.1250 0.0034
Ag: 0.8750 0.8784 0.5034
Mo: 0.2500 0.7500 0.5000
Mo: 0.5000 0.5000 0.0000

- space group = I-42d, No. 122
- formation enthalpy at 0 K (eV/atom) = 0.83
- magnetization (Bohr magnetons per cell) = 4.6